# CsBeHg2Pt GGA-PBE optimized geometry
data_CsBeHg2Pt
_chemical_formula_sum 'Cs1 Be1 Hg2 Pt1'
_space_group_name_H-M_alt 'P 4/m m m'
_space_group_IT_number 123
_space_group_name_Hall '-P 4 2'
_cell_length_a 5.488
_cell_length_b 5.488
_cell_length_c 4.526
_cell_angle_alpha 90.00
_cell_angle_beta 90.00
_cell_angle_gamma 90.00
loop_
_atom_site_label
_atom_site_type_symbol
_atom_site_fract_x
_atom_site_fract_y
_atom_site_fract_z
Cs1 Cs 0.000 0.000 0.000
Be1 Be 0.500 0.500 0.000
Hg1 Hg 0.000 0.500 0.500
Pt1 Pt 0.500 0.500 0.500
# Energy of formation, eV/atom: -0.099
# Crystal system: tetragonal
# N(E_F), states/eV/f.u.: 1.65

---

# KCaSi2 GGA-PBE optimized geometry
data_KCaSi2
_chemical_formula_sum 'K2 Ca2 Si4'
_space_group_name_H-M_alt 'C m m m'
_space_group_IT_number 65
_space_group_name_Hall '-C 2 2'
_cell_length_a 6.332
_cell_length_b 9.507
_cell_length_c 3.099
_cell_angle_alpha 90.00
_cell_angle_beta 90.00
_cell_angle_gamma 90.00
loop_
_atom_site_label
_atom_site_type_symbol
_atom_site_fract_x
_atom_site_fract_y
_atom_site_fract_z
K1 K 0.000 0.000 0.000
Ca1 Ca 0.000 0.500 0.000
Si1 Si 0.250 0.250 0.500
# Crystal system: orthorhombic
# N(E_F), states/eV/f.u.: 0.64
# Formation energy from raw total energies, eV/atom: 0.22

---

# TaWAu2 GGA-PBE optimized geometry
data_TaWAu2
_chemical_formula_sum 'Ta1 W1 Au2'
_space_group_name_H-M_alt 'P 4/m m m'
_space_group_IT_number 123
_space_group_name_Hall '-P 4 2'
_cell_length_a 3.991
_cell_length_b 3.991
_cell_length_c 4.307
_cell_angle_alpha 90.00
_cell_angle_beta 90.00
_cell_angle_gamma 90.00
loop_
_atom_site_label
_atom_site_type_symbol
_atom_site_fract_x
_atom_site_fract_y
_atom_site_fract_z
Ta1 Ta 0.000 0.000 0.000
W1 W 0.500 0.500 0.000
Au1 Au 0.000 0.500 0.500
# Energy of formation, eV/atom: 0.210
# Crystal system: tetragonal
# N(E_F), states/eV/f.u.: 4.16

---

# Co2SiNi GGA-PBE optimized geometry
data_Co2SiNi
_chemical_formula_sum 'Co4 Si2 Ni2'
_space_group_name_H-M_alt 'C m m m'
_space_group_IT_number 65
_space_group_name_Hall '-C 2 2'
_cell_length_a 5.027
_cell_length_b 6.440
_cell_length_c 2.623
_cell_angle_alpha 90.00
_cell_angle_beta 90.00
_cell_angle_gamma 90.00
loop_
_atom_site_label
_atom_site_type_symbol
_atom_site_fract_x
_atom_site_fract_y
_atom_site_fract_z
Co1 Co 0.250 0.250 0.000
Si1 Si 0.000 0.000 0.500
Ni1 Ni 0.000 0.500 0.500
# Crystal system: orthorhombic
# N(E_F), states/eV/f.u.: 4.84
# Formation energy from raw total energies, eV/atom: -0.27

---

Number 1: theoretical density 9.0 g cm⁻³. Number 2: theoretical density 2.4 g cm⁻³. Number 3: theoretical density 18.4 g cm⁻³. Number 4: theoretical density 8.0 g cm⁻³.